Entry 1:
# Fe2RhS

Crystalline Fe2RhS at its relaxed geometry (GGA-PBE, Alexandria).

a = 3.740 Å, b = 3.740 Å, c = 12.131 Å
α = 90.00°, β = 90.00°, γ = 120.00°
Sites, in units of the cell vectors:
Fe 0.000 0.000 0.216
Fe 0.000 0.000 0.784
Fe 0.333 0.667 0.451
Fe 0.333 0.667 0.882
Fe 0.667 0.333 0.118
Fe 0.667 0.333 0.549
Rh 0.000 0.000 0.000
Rh 0.333 0.667 0.667
Rh 0.667 0.333 0.333
S 0.000 0.000 0.500
S 0.333 0.667 0.167
S 0.667 0.333 0.833

The calculation puts the spin magnetization at 0.00 μB/f.u. For the total DFT energy (no corrections), the calculation gives -82.54 eV for the cell shown.

---

Entry 2:
# Sm2YThN4

Crystalline Sm2YThN4 at its relaxed geometry (GGA-PBE, Alexandria).

a = 6.191 Å, b = 3.592 Å, c = 6.203 Å
α = 90.00°, β = 109.32°, γ = 90.00°
Sites, in units of the cell vectors:
Sm 0.000 0.000 0.000
Sm 0.500 0.500 0.000
Y 0.000 0.500 0.500
Th 0.500 0.000 0.500
N 0.249 0.000 0.742
N 0.252 0.500 0.258
N 0.748 0.500 0.742
N 0.751 0.000 0.258

The calculation puts the spin magnetization at 0.00 μB/f.u. For the total DFT energy (no corrections), the calculation gives -69.30 eV for the cell shown.

---

Entry 3:
# SmIn2CuPt4

Crystalline SmIn2CuPt4 at its relaxed geometry (GGA-PBE, Alexandria).

a = 8.554 Å, b = 8.554 Å, c = 8.554 Å
α = 31.17°, β = 31.17°, γ = 31.17°
Sites, in units of the cell vectors:
Sm 0.000 0.000 0.000
In 0.244 0.244 0.244
In 0.756 0.756 0.756
Cu 0.500 0.500 0.500
Pt 0.129 0.129 0.129
Pt 0.396 0.396 0.396
Pt 0.604 0.604 0.604
Pt 0.871 0.871 0.871

The value obtained for the formation energy is -13.3 kcal/mol of atoms. The calculation puts the spin magnetization at 0.00 μB/f.u. For the total DFT energy (no corrections), the calculation gives -43.06 eV for the cell shown.